Compound: NaLiTbWO6
Source: Alexandria
Functional: PBE+U
Structure: relaxed

Cell and atoms, written as POSCAR:
```
NaLiTbWO6
1.0
0.000 4.176 4.176
4.176 0.000 4.176
4.176 4.176 0.000
Na Li Tb W O
1 1 1 1 6
Cartesian
0.000 0.000 0.000 Na
4.176 4.176 4.176 Li
2.088 2.088 2.088 Tb
6.264 6.264 6.264 W
6.264 6.264 4.325 O
6.264 4.325 6.264 O
8.203 6.264 6.264 O
4.325 6.264 6.264 O
6.264 8.203 6.264 O
6.264 6.264 8.203 O
```

Computed properties:
Its raw total energy is -66.17 eV/f.u.